K2VSnBr: optimized geometry, GGA-PBE.

Structure (POSCAR):
```
K2VSnBr
1.0
6.5354 0.0000 0.0000
0.0000 6.5354 0.0000
0.0000 0.0000 5.1608
K V Sn Br
2 1 1 1
direct
0.0000 0.5000 0.0000 K
0.5000 0.0000 0.0000 K
0.0000 0.0000 0.0000 V
0.0000 0.0000 0.5000 Sn
0.5000 0.5000 0.5000 Br
```

Output
Its formation energy without anion corrections is 0.19 eV/atom.

***

UVB4: optimized geometry, GGA-PBE.

Structure (POSCAR):
```
UVB4
1.0
5.9121 0.0000 0.0000
0.0000 11.4458 0.0000
0.0000 0.0000 3.5362
U V B
4 4 16
direct
0.1255 0.1511 0.0000 U
0.3745 0.6511 0.0000 U
0.6255 0.3489 0.0000 U
0.8745 0.8489 0.0000 U
0.1284 0.4152 0.0000 V
0.3716 0.9152 0.0000 V
0.6284 0.0848 0.0000 V
0.8716 0.5848 0.0000 V
0.0267 0.6927 0.5000 B
0.1150 0.5468 0.5000 B
0.1340 0.9672 0.5000 B
0.2144 0.8133 0.5000 B
0.2856 0.3133 0.5000 B
0.3660 0.4672 0.5000 B
0.3850 0.0468 0.5000 B
0.4733 0.1927 0.5000 B
0.5267 0.8073 0.5000 B
0.6150 0.9532 0.5000 B
0.6340 0.5328 0.5000 B
0.7144 0.6867 0.5000 B
0.7856 0.1867 0.5000 B
0.8660 0.0328 0.5000 B
0.8850 0.4532 0.5000 B
0.9733 0.3073 0.5000 B
```

Output
As for the electronic total energy: -8.50 eV/atom.

***

CsNd2Sm3Te6: optimized geometry, GGA-PBE.

Structure (POSCAR):
```
CsNd2Sm3Te6
1.0
10.0418 -2.2381 0.0000
10.0418 2.2381 0.0000
-2.3502 0.0000 9.1428
Cs Nd Sm Te
1 2 3 6
direct
0.0000 0.0000 0.0000 Cs
0.3276 0.3276 0.6515 Nd
0.6724 0.6724 0.3485 Nd
0.0000 0.0000 0.5000 Sm
0.3387 0.3387 0.1806 Sm
0.6613 0.6613 0.8194 Sm
0.1637 0.1637 0.5861 Te
0.1787 0.1787 0.0860 Te
0.4966 0.4966 0.7215 Te
0.5034 0.5034 0.2785 Te
0.8213 0.8213 0.9140 Te
0.8363 0.8363 0.4139 Te
```

Output
Its formation energy without anion corrections is -1.33 eV/atom.

***

ThBe2: optimized geometry, GGA-PBE.

Structure (POSCAR):
```
ThBe2
1.0
2.9690 -2.6302 0.0000
2.9690 2.6302 0.0000
-1.4304 0.0000 3.5211
Th Be
1 2
direct
0.0000 0.0000 0.0000 Th
0.4213 0.4213 0.6956 Be
0.5787 0.5787 0.3044 Be
```

Output
As for the electronic total energy: -4.68 eV/atom.

***

Te2Pd4Cl: optimized geometry, GGA-PBE.

Structure (POSCAR):
```
Te2Pd4Cl
1.0
-3.9676 3.9676 4.7654
3.9676 -3.9676 4.7654
3.9676 3.9676 -4.7654
Te Pd Cl
4 8 2
direct
0.3750 0.0707 0.1957 Te
0.8207 0.1250 0.1957 Te
0.8750 0.1793 0.8043 Te
0.9293 0.6250 0.8043 Te
0.0670 0.9170 0.7032 Pd
0.0830 0.9330 0.2968 Pd
0.1138 0.3170 0.6500 Pd
0.2138 0.3638 0.2968 Pd
0.5362 0.3330 0.6500 Pd
0.6362 0.7862 0.7032 Pd
0.6670 0.4638 0.3500 Pd
0.6830 0.8862 0.3500 Pd
0.2500 0.7500 0.5000 Cl
0.5000 0.5000 0.0000 Cl
```

Output
Its formation energy without anion corrections is -0.25 eV/atom.

***

PrSm8Ga6: optimized geometry, GGA-PBE.

Structure (POSCAR):
```
PrSm8Ga6
1.0
4.4208 2.5523 6.2593
-4.4208 2.5523 6.2593
0.0000 -5.1047 6.2593
Pr Sm Ga
1 8 6
direct
0.0000 0.0000 0.0000 Pr
0.1133 0.7800 0.4457 Sm
0.2200 0.5543 0.8867 Sm
0.3329 0.3329 0.3329 Sm
0.4457 0.1133 0.7800 Sm
0.5543 0.8867 0.2200 Sm
0.6671 0.6671 0.6671 Sm
0.7800 0.4457 0.1133 Sm
0.8867 0.2200 0.5543 Sm
0.0572 0.3940 0.7200 Ga
0.2800 0.9428 0.6060 Ga
0.3940 0.7200 0.0572 Ga
0.6060 0.2800 0.9428 Ga
0.7200 0.0572 0.3940 Ga
0.9428 0.6060 0.2800 Ga
```

Output
As for the electronic total energy: -4.40 eV/atom.

***

AlCu2: optimized geometry, GGA-PBE.

Structure (POSCAR):
```
AlCu2
1.0
-1.3307 1.3307 11.5137
1.3307 -1.3307 11.5137
1.3307 1.3307 -11.5137
Al Cu
2 4
direct
0.3750 0.6250 0.7500 Al
0.6250 0.3750 0.2500 Al
0.0474 0.7974 0.2500 Cu
0.2026 0.9526 0.2500 Cu
0.7974 0.0474 0.7500 Cu
0.9526 0.2026 0.7500 Cu
```

Output
As for the electronic total energy: -3.99 eV/atom.

***

RbNaMg2Re: optimized geometry, GGA-PBE.

Structure (POSCAR):
```
RbNaMg2Re
1.0
5.3377 0.0000 0.0000
0.0000 5.3377 0.0000
0.0000 0.0000 5.9042
Rb Na Mg Re
1 1 2 1
direct
0.0000 0.0000 0.0000 Rb
0.5000 0.5000 0.0000 Na
0.0000 0.5000 0.5000 Mg
0.5000 0.0000 0.5000 Mg
0.5000 0.5000 0.5000 Re
```

Output
As for the electronic total energy: -2.66 eV/atom.

***

ZrTiMn3: optimized geometry, GGA-PBE.

Structure (POSCAR):
```
ZrTiMn3
1.0
4.3544 0.0000 0.0000
0.0000 4.3544 0.0000
0.0000 0.0000 4.3544
Zr Ti Mn
1 1 3
direct
0.0000 0.0000 0.0000 Zr
0.5000 0.5000 0.5000 Ti
0.0000 0.5000 0.5000 Mn
0.5000 0.0000 0.5000 Mn
0.5000 0.5000 0.0000 Mn
```

Output
The calculation puts the energy above the most stable polymorph in this dataset at 0.0000 eV/atom.

***

Dy2TlNi: optimized geometry, GGA-PBE.

Structure (POSCAR):
```
Dy2TlNi
1.0
1.8948 1.0940 8.3297
-1.8948 1.0940 8.3297
0.0000 -2.1880 8.3297
Dy Tl Ni
2 1 1
direct
0.2311 0.2311 0.2311 Dy
0.7689 0.7689 0.7689 Dy
0.0000 0.0000 0.0000 Tl
0.5000 0.5000 0.5000 Ni
```

Output
The calculation puts the energy above the most stable polymorph in this dataset at 0.0879 eV/atom.

***

Rb3As11: optimized geometry, GGA-PBE.

Structure (POSCAR):
```
Rb3As11
1.0
11.6510 0.0000 0.0000
0.0000 15.1607 0.0000
0.0000 0.0000 11.3887
Rb As
12 44
direct
0.0000 0.2114 0.2500 Rb
0.0000 0.7886 0.7500 Rb
0.2351 0.4881 0.0803 Rb
0.2351 0.5119 0.5803 Rb
0.2649 0.0119 0.5803 Rb
0.2649 0.9881 0.0803 Rb
0.5000 0.2886 0.7500 Rb
0.5000 0.7114 0.2500 Rb
0.7351 0.0119 0.9197 Rb
0.7351 0.9881 0.4197 Rb
0.7649 0.4881 0.4197 Rb
0.7649 0.5119 0.9197 Rb
0.0000 0.0273 0.7500 As
0.0000 0.9727 0.2500 As
0.0210 0.3550 0.5007 As
0.0210 0.6450 0.0007 As
0.0777 0.1330 0.8890 As
0.0777 0.8670 0.3890 As
0.0824 0.3848 0.8192 As
0.0824 0.6152 0.3192 As
0.1005 0.2153 0.5635 As
0.1005 0.7847 0.0635 As
0.1810 0.2437 0.7645 As
0.1810 0.7563 0.2645 As
0.3190 0.2563 0.2645 As
0.3190 0.7437 0.7645 As
0.3995 0.2847 0.0635 As
0.3995 0.7153 0.5635 As
0.4176 0.1152 0.3192 As
0.4176 0.8848 0.8192 As
0.4223 0.3670 0.3890 As
0.4223 0.6330 0.8890 As
0.4790 0.1450 0.0007 As
0.4790 0.8550 0.5007 As
0.5000 0.4727 0.2500 As
0.5000 0.5273 0.7500 As
0.5210 0.1450 0.4993 As
0.5210 0.8550 0.9993 As
0.5777 0.3670 0.1110 As
0.5777 0.6330 0.6110 As
0.5824 0.1152 0.1808 As
0.5824 0.8848 0.6808 As
0.6005 0.2847 0.4365 As
0.6005 0.7153 0.9365 As
0.6810 0.2563 0.2355 As
0.6810 0.7437 0.7355 As
0.8190 0.2437 0.7355 As
0.8190 0.7563 0.2355 As
0.8995 0.2153 0.9365 As
0.8995 0.7847 0.4365 As
0.9176 0.3848 0.6808 As
0.9176 0.6152 0.1808 As
0.9223 0.1330 0.6110 As
0.9223 0.8670 0.1110 As
0.9790 0.3550 0.9993 As
0.9790 0.6450 0.4993 As
```

Output
As for the electronic total energy: -4.15 eV/atom.

***

Nd2Cd3Pd2: optimized geometry, GGA-PBE.

Structure (POSCAR):
```
Nd2Cd3Pd2
1.0
5.2440 -2.0323 0.0000
5.2440 2.0323 0.0000
-0.6344 0.0000 7.7442
Nd Cd Pd
2 3 2
direct
0.1245 0.1245 0.3449 Nd
0.8755 0.8755 0.6551 Nd
0.1847 0.1847 0.8718 Cd
0.5000 0.5000 0.0000 Cd
0.8153 0.8153 0.1282 Cd
0.4087 0.4087 0.3602 Pd
0.5913 0.5913 0.6398 Pd
```

Output
The calculation puts the energy above the most stable polymorph in this dataset at 0.0408 eV/atom.